<i>
First-principles (PBE) data for La2Ag2Sn after structural relaxation, as listed in Alexandria via LeMat-Bulk.

Cell: 4.635 6.019 6.019 Å, 64.94 67.36 67.36°
Sites, in units of the cell vectors:
La1 0.794 0.706 0.706
Sn1 0.000 0.000 0.000
La2 0.206 0.294 0.294
Ag1 0.500 0.283 0.717
Ag2 0.500 0.717 0.283

Properties
Crystal system   orthorhombic

***

<ii>
First-principles (PBE) data for La2Ag2Sn after structural relaxation, as listed in Alexandria via LeMat-Bulk.

Cell: 8.839 8.839 3.762 Å, 90.00 90.00 90.00°
Sites, in units of the cell vectors:
La1 0.175 0.325 0.000
Ag1 0.618 0.882 0.500
Sn1 0.000 0.000 0.000
Ag2 0.382 0.118 0.500
Sn2 0.500 0.500 0.000
Ag3 0.882 0.382 0.500
La2 0.675 0.175 0.000
La3 0.825 0.675 0.000
La4 0.325 0.825 0.000
Ag4 0.118 0.618 0.500

Properties
Crystal system   tetragonal

***

Most stable structure, least stable structure: <i>, <ii>.

***

<i>
First-principles (PBE) data for La3AgSn after structural relaxation, as listed in Alexandria via LeMat-Bulk.

Cell: 5.123 8.899 7.075 Å, 87.37 89.95 106.71°
Sites, in units of the cell vectors:
Ag1 0.233 0.500 0.598
La1 0.633 0.299 0.710
Sn1 0.426 0.885 0.232
La2 0.811 0.654 0.359
Ag2 0.811 0.654 0.824
Sn2 0.618 0.269 0.190
La3 0.412 0.855 0.712
La4 0.233 0.500 0.063
La5 0.039 0.111 0.439
La6 0.005 0.043 0.983

Properties
Crystal system   triclinic

***

<ii>
First-principles (PBE) data for La3AgSn after structural relaxation, as listed in Alexandria via LeMat-Bulk.

Cell: 5.761 5.761 5.761 Å, 90.00 90.00 90.00°
Sites, in units of the cell vectors:
Ag1 0.000 0.000 0.000
Sn1 0.500 0.500 0.500
La1 0.500 0.000 0.000
La2 0.000 0.000 0.500
La3 0.000 0.500 0.000

Properties
Crystal system   cubic

***

Most stable structure, least stable structure: <i>, <ii>.

***

<i>
First-principles (PBE) data for LaAgSnTe2 after structural relaxation, as listed in Alexandria via LeMat-Bulk.

Cell: 6.077 5.649 6.077 Å, 90.00 90.00 90.00°
Sites, in units of the cell vectors:
Te1 0.000 0.000 0.500
Sn1 0.500 0.500 0.500
Te2 0.500 0.000 0.000
La1 0.000 0.000 0.000
Ag1 0.000 0.500 0.000

Properties
Crystal system   tetragonal

***

<ii>
First-principles (PBE) data for LaAgSnTe2 after structural relaxation, as listed in Alexandria via LeMat-Bulk.

Cell: 5.370 5.370 5.786 Å, 90.00 90.00 90.00°
Sites, in units of the cell vectors:
La1 0.000 0.000 0.500
Sn1 0.500 0.500 0.500
Te1 0.500 0.000 0.000
Te2 0.000 0.500 0.000
Ag1 0.000 0.000 0.000

Properties
Crystal system   tetragonal

***

Most stable structure, least stable structure: <ii>, <i>.

***

<i>
First-principles (PBE) data for SrLaAg after structural relaxation, as listed in Alexandria via LeMat-Bulk.

Cell: 7.564 7.564 3.851 Å, 75.25 75.26 29.49°
Sites, in units of the cell vectors:
La1 0.368 0.368 0.632
Sr1 0.639 0.639 0.361
Ag1 0.993 0.993 0.007

Properties
Crystal system   tetragonal

***

<ii>
First-principles (PBE) data for SrLaAg after structural relaxation, as listed in Alexandria via LeMat-Bulk.

Cell: 5.381 5.381 5.381 Å, 60.00 60.00 60.00°
Sites, in units of the cell vectors:
La1 0.000 0.000 0.000
Ag1 0.750 0.750 0.750
Sr1 0.500 0.500 0.500

Properties
Crystal system   cubic

***

Most stable structure, least stable structure: <i>, <ii>.

***

<i>
First-principles (PBE) data for Sr2LaAg after structural relaxation, as listed in Alexandria via LeMat-Bulk.

Cell: 5.790 5.790 4.396 Å, 90.00 90.00 90.48°
Sites, in units of the cell vectors:
Sr1 0.500 0.500 0.000
Sr2 0.000 0.000 0.000
Ag1 0.500 0.000 0.500
La1 0.000 0.500 0.500

Properties
Crystal system   orthorhombic

***

<ii>
First-principles (PBE) data for Sr2LaAg after structural relaxation, as listed in Alexandria via LeMat-Bulk.

Cell: 11.461 11.461 11.461 Å, 20.36 20.36 20.36°
Sites, in units of the cell vectors:
Ag1 0.250 0.250 0.250
Sr1 0.984 0.984 0.984
La1 0.750 0.750 0.750
Sr2 0.516 0.516 0.516

Properties
Crystal system   trigonal

***

<iii>
First-principles (PBE) data for Sr2LaAg after structural relaxation, as listed in Alexandria via LeMat-Bulk.

Cell: 7.421 7.421 5.915 Å, 66.45 66.45 31.06°
Sites, in units of the cell vectors:
La1 0.250 0.250 0.250
Sr1 0.055 0.055 0.945
Sr2 0.445 0.445 0.555
Ag1 0.750 0.750 0.750

Properties
Crystal system   monoclinic

***

Most stable structure, least stable structure: <iii>, <i>.

***

<i>
First-principles (PBE) data for SrLa2Ag after structural relaxation, as listed in Alexandria via LeMat-Bulk.

Cell: 5.808 4.845 4.845 Å, 90.00 90.00 90.00°
Sites, in units of the cell vectors:
Ag1 0.500 0.000 0.500
Sr1 0.500 0.500 0.000
La1 0.000 0.000 0.000
La2 0.000 0.500 0.500

Properties
Crystal system   tetragonal

***

<ii>
First-principles (PBE) data for SrLa2Ag after structural relaxation, as listed in Alexandria via LeMat-Bulk.

Cell: 3.922 3.922 11.465 Å, 80.15 80.15 60.00°
Sites, in units of the cell vectors:
Ag1 0.667 0.667 0.999
La1 0.067 0.067 0.799
La2 0.267 0.267 0.199
Sr1 0.499 0.499 0.503

Properties
Crystal system   trigonal

***

<iii>
First-principles (PBE) data for SrLa2Ag after structural relaxation, as listed in Alexandria via LeMat-Bulk.

Cell: 7.217 7.217 5.810 Å, 66.32 66.32 30.10°
Sites, in units of the cell vectors:
Sr1 0.750 0.750 0.750
La1 0.540 0.540 0.460
Ag1 0.250 0.250 0.250
La2 0.960 0.960 0.040

Properties
Crystal system   orthorhombic

***

Most stable structure, least stable structure: <iii>, <i>.

***

<i>
First-principles (PBE) data for La2TaAg after structural relaxation, as listed in Alexandria via LeMat-Bulk.

Cell: 5.349 5.349 6.427 Å, 84.28 84.28 34.77°
Sites, in units of the cell vectors:
Ta1 0.250 0.250 0.250
La1 0.497 0.497 0.494
Ag1 0.750 0.750 0.750
La2 0.003 0.003 0.006

Properties
Crystal system   monoclinic

***

<ii>
First-principles (PBE) data for La2TaAg after structural relaxation, as listed in Alexandria via LeMat-Bulk.

Cell: 10.886 10.886 10.886 Å, 17.69 17.69 17.69°
Sites, in units of the cell vectors:
La1 0.502 0.502 0.502
Ta1 0.250 0.250 0.250
Ag1 0.750 0.750 0.750
La2 0.998 0.998 0.998

Properties
Crystal system   trigonal

***

<iii>
First-principles (PBE) data for La2TaAg after structural relaxation, as listed in Alexandria via LeMat-Bulk.

Cell: 5.337 5.337 5.337 Å, 60.00 60.00 60.00°
Sites, in units of the cell vectors:
La1 0.250 0.250 0.250
La2 0.750 0.750 0.750
Ta1 0.500 0.500 0.500
Ag1 0.000 0.000 0.000

Properties
Crystal system   cubic

***

Most stable structure, least stable structure: <iii>, <i>.

***

<i>
First-principles (PBE) data for La2TaAg after structural relaxation, as listed in Alexandria via LeMat-Bulk.

Cell: 5.154 5.154 5.154 Å, 60.00 60.00 60.00°
Sites, in units of the cell vectors:
Ag1 0.500 0.500 0.500
Ta1 0.750 0.750 0.750
La1 0.000 0.000 0.000
La2 0.250 0.250 0.250

Properties
Crystal system   cubic

***

<ii>
First-principles (PBE) data for La2TaAg after structural relaxation, as listed in Alexandria via LeMat-Bulk.

Cell: 5.881 5.881 5.881 Å, 134.50 134.50 66.30°
Sites, in units of the cell vectors:
La1 0.250 0.750 0.500
Ag1 0.750 0.250 0.500
La2 0.000 0.000 0.000
Ta1 0.500 0.500 0.000

Properties
Crystal system   tetragonal

***

<iii>
First-principles (PBE) data for La2TaAg after structural relaxation, as listed in Alexandria via LeMat-Bulk.

Cell: 4.467 4.467 11.061 Å, 78.35 78.35 90.00°
Sites, in units of the cell vectors:
Ag1 0.500 0.500 0.000
La1 0.118 0.625 0.250
La2 0.375 0.368 0.750
Ta1 0.750 0.250 0.500
Ta2 0.000 0.000 0.000
La3 0.875 0.882 0.750
La4 0.632 0.125 0.250
Ag2 0.250 0.750 0.500

Properties
Crystal system   tetragonal

***

Most stable structure, least stable structure: <ii>, <iii>.